1.
{
  "formula": "Th4PtAu",
  "functional": "PBE",
  "state": "optimized geometry",
  "formation_energy_ev_per_fu": -3.574,
  "relative_energy_ev_per_fu": 0.00,
  "energy_ev_per_atom": -7.095,
  "cell": [[-3.538, 4.662, 1.088], [-5.379, -4.605, 2.245], [2.600, 0.351, 6.950]],
  "species": ["Th", "Th", "Th", "Th", "Th", "Th", "Th", "Th", "Pt", "Pt", "Au", "Au"],
  "fractional_positions": [[0.000, 0.165, 0.655], [0.000, 0.835, 0.345], [0.000, 0.655, 0.835], [0.500, 0.835, 0.655], [0.500, 0.345, 0.835], [0.500, 0.655, 0.165], [0.500, 0.165, 0.345], [0.000, 0.345, 0.165], [0.750, 0.500, 0.500], [0.250, 0.500, 0.500], [0.250, 0.000, 0.000], [0.750, 0.000, 0.000]]
}

***

2.
{
  "formula": "YErTl",
  "functional": "PBE",
  "state": "optimized geometry",
  "formation_energy_ev_per_fu": -0.722,
  "relative_energy_ev_per_fu": 0.14,
  "energy_ev_per_atom": -4.705,
  "cell": [[-0.714, 2.367, 2.568], [1.191, -2.299, 2.450], [6.053, 2.549, -3.142]],
  "species": ["Tl", "Y", "Er"],
  "fractional_positions": [[0.949, 0.949, 0.898], [0.608, 0.608, 0.216], [0.293, 0.293, 0.586]]
}